# 1
A plane-wave DFT calculation with PBE was carried out for an optimized crystal structure of Ba3Zr2O7.

Structure (CIF):
```
data_Ba3Zr2O7
_chemical_formula_sum 'Ba3 Zr2 O7'
_cell_length_a 11.2931
_cell_length_b 11.2931
_cell_length_c 11.2931
_cell_angle_alpha 158.52
_cell_angle_beta 158.52
_cell_angle_gamma 30.56
_space_group_name_H-M_alt 'P 1'
_space_group_IT_number 1
_space_group_name_Hall 'P 1'
loop_
_atom_site_label
_atom_site_fract_x
_atom_site_fract_y
_atom_site_fract_z
O1 0.9036 0.4036 0.5000
O2 0.4036 0.9036 0.5000
O3 0.1944 0.1944 0.0000
O4 0.0964 0.5964 0.5000
O5 0.5964 0.0964 0.5000
O6 0.8056 0.8056 0.0000
O7 0.0000 0.0000 0.0000
Zr1 0.9022 0.9022 0.0000
Zr2 0.0978 0.0978 0.0000
Ba1 0.6862 0.6862 0.0000
Ba2 0.3138 0.3138 0.0000
Ba3 0.5000 0.5000 0.0000
```

Summary:
Final energy   -94.82 eV per cell
Magnetic moment   0.01 μB/cell
SG   I4/mmm, No. 139

=====

# 2
A plane-wave DFT calculation with PBE was carried out for an optimized crystal structure of BaZr2O4.

Structure (CIF):
```
data_BaZr2O4
_chemical_formula_sum 'Ba2 Zr4 O8'
_cell_length_a 5.9284
_cell_length_b 5.9284
_cell_length_c 8.4135
_cell_angle_alpha 90.00
_cell_angle_beta 90.00
_cell_angle_gamma 120.00
_space_group_name_H-M_alt 'P 1'
_space_group_IT_number 1
_space_group_name_Hall 'P 1'
loop_
_atom_site_label
_atom_site_fract_x
_atom_site_fract_y
_atom_site_fract_z
Ba1 0.0000 0.0000 0.2500
Ba2 0.0000 0.0000 0.7500
O1 0.0000 0.3155 0.5000
O2 0.3155 0.0000 0.5000
O3 0.6845 0.6845 0.5000
O4 0.3155 0.3155 0.0000
O5 0.0000 0.6845 0.0000
O6 0.6845 0.0000 0.0000
O7 0.6667 0.3333 0.7500
O8 0.3333 0.6667 0.2500
Zr1 0.3333 0.6667 0.4891
Zr2 0.6667 0.3333 0.5109
Zr3 0.6667 0.3333 0.9891
Zr4 0.3333 0.6667 0.0109
```

Summary:
Final energy   -115.04 eV per cell
Magnetic moment   0.57 μB/cell
SG   P6_322, No. 182
Energy above the most stable polymorph in this dataset   0.0829 eV per atom

=====

# 3
A plane-wave DFT calculation with PBE was carried out for an optimized crystal structure of BaZrO3.

Structure (CIF):
```
data_BaZrO3
_chemical_formula_sum 'Ba4 Zr4 O12'
_cell_length_a 10.6745
_cell_length_b 10.6745
_cell_length_c 10.6745
_cell_angle_alpha 32.73
_cell_angle_beta 32.73
_cell_angle_gamma 32.73
_space_group_name_H-M_alt 'P 1'
_space_group_IT_number 1
_space_group_name_Hall 'P 1'
loop_
_atom_site_label
_atom_site_fract_x
_atom_site_fract_y
_atom_site_fract_z
O1 0.7968 0.7968 0.2846
O2 0.6125 0.6125 0.1429
O3 0.7968 0.2846 0.7968
O4 0.2032 0.2032 0.7154
O5 0.2032 0.7154 0.2032
O6 0.8571 0.3875 0.3875
O7 0.1429 0.6125 0.6125
O8 0.2846 0.7968 0.7968
O9 0.3875 0.3875 0.8571
O10 0.6125 0.1429 0.6125
O11 0.3875 0.8571 0.3875
O12 0.7154 0.2032 0.2032
Zr1 0.5000 0.5000 0.5000
Zr2 0.5947 0.5947 0.5947
Zr3 0.0000 0.0000 0.0000
Zr4 0.4053 0.4053 0.4053
Ba1 0.8684 0.8684 0.8684
Ba2 0.2778 0.2778 0.2778
Ba3 0.1316 0.1316 0.1316
Ba4 0.7222 0.7222 0.7222
```

Summary:
Final energy   -163.44 eV per cell
Magnetic moment   0.01 μB/cell
SG   R-3m, No. 166